Ni2Br: relaxed, PBE-GGA.

Computed properties:
formation energy from raw total energies = 0.284 eV/atom
size of the total moment = 7.78 μB/cell
symmetry = Cmcm, No. 63

Unit cell a=3.3885 b=19.4535 c=3.3674 alpha=90.00 beta=90.00 gamma=90.00
Last column: nearest neighbours and their distance in Å.
Sites, in units of the cell vectors:
Ni (0.0000, 0.1599, 0.2500)  4 Ni 2.43-2.44, 4 Br 2.70
Ni (0.0000, 0.2507, 0.7500)  8 Ni 2.39-2.44
Ni (0.0000, 0.7493, 0.2500)  8 Ni 2.39-2.44
Ni (0.0000, 0.8401, 0.7500)  4 Ni 2.43-2.44, 4 Br 2.70
Ni (0.5000, 0.2493, 0.2500)  8 Ni 2.39-2.44
Ni (0.5000, 0.3401, 0.7500)  4 Ni 2.43-2.44, 4 Br 2.70
Ni (0.5000, 0.6599, 0.2500)  4 Ni 2.43-2.44, 4 Br 2.70
Ni (0.5000, 0.7507, 0.7500)  8 Ni 2.39-2.44
Br (0.0000, 0.4047, 0.2500)  4 Ni 2.70
Br (0.0000, 0.5953, 0.7500)  4 Ni 2.70
Br (0.5000, 0.0953, 0.7500)  4 Ni 2.70
Br (0.5000, 0.9047, 0.2500)  4 Ni 2.70